# 1
Density functional theory data (PBE) for a geometry-optimized SmErTh2 structure.

Results
**Energy relative to the elements**: 0.04 eV/atom
**Excess energy over the best structure of this formula in the dataset**: 15 meV per atom

abc: 11.8434 11.8434 11.8434
angles: 17.33 17.33 17.33
Last column: nearest neighbours and their distance in Å.
Positions (direct):
Sm (0.0000, 0.0000, 0.0000)  6 Th 3.55-3.65, 6 Sm 3.57
Er (0.1699, 0.1699, 0.1699)  6 Th 3.50-3.58, 6 Er 3.57
Th (0.5841, 0.5841, 0.5841)  3 Er 3.50, 3 Sm 3.55, 6 Th 3.57
Th (0.7529, 0.7529, 0.7529)  6 Th 3.57, 3 Er 3.58, 3 Sm 3.65

=====

# 2
Density functional theory data (PBE) for a geometry-optimized KZnSe2 structure.

Results
**Formation energy (no corrections)**: -0.406 eV/atom

abc: 3.7509 3.7509 8.4124
angles: 90.00 90.00 117.48
Last column: nearest neighbours and their distance in Å.
Positions (direct):
K (0.0000, 0.0000, 0.0000)  4 Se 3.18
Zn (0.0000, 0.0000, 0.5000)  4 Se 2.58
Se (0.5000, 0.5000, 0.2990)  2 Zn 2.58
Se (0.5000, 0.5000, 0.7010)  2 Zn 2.58

=====

# 3
Density functional theory data (PBE) for a geometry-optimized TiFeSb2 structure.

Results
**Formation energy (no corrections)**: 0.088 eV/atom
**Excess energy over the best structure of this formula in the dataset**: 0 meV per atom

abc: 6.0423 6.0423 6.0423
angles: 38.54 38.54 38.54
Last column: nearest neighbours and their distance in Å.
Positions (direct):
Ti (0.0000, 0.0000, 0.0000)  6 Sb 2.80
Fe (0.5000, 0.5000, 0.5000)  6 Sb 2.60
Sb (0.2381, 0.2381, 0.2381)  3 Fe 2.60, 3 Ti 2.80
Sb (0.7619, 0.7619, 0.7619)  3 Fe 2.60, 3 Ti 2.80

=====

# 4
Density functional theory data (PBE) for a geometry-optimized Y6IrSe4 structure.

Results
**Formation energy (no corrections)**: -1.474 eV/atom

abc: 7.0022 7.0022 20.7017
angles: 90.00 90.00 147.12
Last column: nearest neighbours and their distance in Å.
Positions (direct):
Y (0.0000, 0.0000, 0.0000)  6 Se 2.83-2.87
Y (0.0000, 0.0000, 0.5000)  6 Se 2.83-2.87
Y (0.1811, 0.8189, 0.7500)  2 Ir 2.80, 2 Se 2.90
Y (0.2709, 0.7291, 0.0972)  5 Se 2.88-3.00
Y (0.2709, 0.7291, 0.4028)  5 Se 2.88-3.00
Y (0.4316, 0.5684, 0.6693)  3 Se 2.93-2.95, 2 Ir 2.94
Y (0.4316, 0.5684, 0.8307)  3 Se 2.93-2.95, 2 Ir 2.94
Y (0.5684, 0.4316, 0.1693)  3 Se 2.93-2.95, 2 Ir 2.94
Y (0.5684, 0.4316, 0.3307)  3 Se 2.93-2.95, 2 Ir 2.94
Y (0.7291, 0.2709, 0.5972)  5 Se 2.88-3.00
Y (0.7291, 0.2709, 0.9028)  5 Se 2.88-3.00
Y (0.8189, 0.1811, 0.2500)  2 Ir 2.80, 2 Se 2.90
Ir (0.1717, 0.8283, 0.2500)  6 Y 2.80-2.94
Ir (0.8283, 0.1717, 0.7500)  6 Y 2.80-2.94
Se (0.0806, 0.9194, 0.6263)  6 Y 2.83-2.95
Se (0.0806, 0.9194, 0.8737)  6 Y 2.83-2.95
Se (0.3566, 0.6434, 0.5366)  6 Y 2.87-3.00
Se (0.3566, 0.6434, 0.9634)  6 Y 2.87-3.00
Se (0.6434, 0.3566, 0.0366)  6 Y 2.87-3.00
Se (0.6434, 0.3566, 0.4634)  6 Y 2.87-3.00
Se (0.9194, 0.0806, 0.1263)  6 Y 2.83-2.95
Se (0.9194, 0.0806, 0.3737)  6 Y 2.83-2.95

=====

# 5
Density functional theory data (PBE) for a geometry-optimized LaMoS3 structure.

Results
**Formation energy (no corrections)**: -1.001 eV/atom
**Excess energy over the best structure of this formula in the dataset**: 0 meV per atom

abc: 4.7144 4.7144 4.7144
angles: 90.00 90.00 90.00
Last column: nearest neighbours and their distance in Å.
Positions (direct):
La (0.0000, 0.0000, 0.0000)  12 S 3.33
Mo (0.5000, 0.5000, 0.5000)  6 S 2.36
S (0.0000, 0.5000, 0.5000)  2 Mo 2.36
S (0.5000, 0.0000, 0.5000)  2 Mo 2.36
S (0.5000, 0.5000, 0.0000)  2 Mo 2.36

=====

# 6
Density functional theory data (PBE) for a geometry-optimized LaTb4Dy4 structure.

Results
**Energy relative to the elements**: 0.02 eV/atom
**Excess energy over the best structure of this formula in the dataset**: 20 meV per atom

abc: 7.9999 7.9999 7.9999
angles: 95.72 95.72 143.18
Last column: nearest neighbours and their distance in Å.
Positions (direct):
La (0.0000, 0.0000, 0.0000)  8 Tb 3.60, 4 Dy 3.60
Tb (0.3315, 0.3315, 0.6631)  4 Tb 3.54-3.62, 6 Dy 3.56-3.59, 2 La 3.60
Tb (0.3315, 0.6685, 0.0000)  4 Tb 3.54-3.62, 6 Dy 3.56-3.59, 2 La 3.60
Tb (0.6685, 0.3315, 0.0000)  4 Tb 3.54-3.62, 6 Dy 3.56-3.59, 2 La 3.60
Tb (0.6685, 0.6685, 0.3369)  4 Tb 3.54-3.62, 6 Dy 3.56-3.59, 2 La 3.60
Dy (0.0000, 0.3354, 0.3354)  5 Dy 3.53-3.55, 6 Tb 3.56-3.59, 1 La 3.60
Dy (0.0000, 0.6646, 0.6646)  5 Dy 3.53-3.55, 6 Tb 3.56-3.59, 1 La 3.60
Dy (0.3354, 0.0000, 0.3354)  5 Dy 3.53-3.55, 6 Tb 3.56-3.59, 1 La 3.60
Dy (0.6646, 0.0000, 0.6646)  5 Dy 3.53-3.55, 6 Tb 3.56-3.59, 1 La 3.60

=====

Repeat the fourth record exactly.
Density functional theory data (PBE) for a geometry-optimized Y6IrSe4 structure.

Results
**Formation energy (no corrections)**: -1.474 eV/atom

abc: 7.0022 7.0022 20.7017
angles: 90.00 90.00 147.12
Last column: nearest neighbours and their distance in Å.
Positions (direct):
Y (0.0000, 0.0000, 0.0000)  6 Se 2.83-2.87
Y (0.0000, 0.0000, 0.5000)  6 Se 2.83-2.87
Y (0.1811, 0.8189, 0.7500)  2 Ir 2.80, 2 Se 2.90
Y (0.2709, 0.7291, 0.0972)  5 Se 2.88-3.00
Y (0.2709, 0.7291, 0.4028)  5 Se 2.88-3.00
Y (0.4316, 0.5684, 0.6693)  3 Se 2.93-2.95, 2 Ir 2.94
Y (0.4316, 0.5684, 0.8307)  3 Se 2.93-2.95, 2 Ir 2.94
Y (0.5684, 0.4316, 0.1693)  3 Se 2.93-2.95, 2 Ir 2.94
Y (0.5684, 0.4316, 0.3307)  3 Se 2.93-2.95, 2 Ir 2.94
Y (0.7291, 0.2709, 0.5972)  5 Se 2.88-3.00
Y (0.7291, 0.2709, 0.9028)  5 Se 2.88-3.00
Y (0.8189, 0.1811, 0.2500)  2 Ir 2.80, 2 Se 2.90
Ir (0.1717, 0.8283, 0.2500)  6 Y 2.80-2.94
Ir (0.8283, 0.1717, 0.7500)  6 Y 2.80-2.94
Se (0.0806, 0.9194, 0.6263)  6 Y 2.83-2.95
Se (0.0806, 0.9194, 0.8737)  6 Y 2.83-2.95
Se (0.3566, 0.6434, 0.5366)  6 Y 2.87-3.00
Se (0.3566, 0.6434, 0.9634)  6 Y 2.87-3.00
Se (0.6434, 0.3566, 0.0366)  6 Y 2.87-3.00
Se (0.6434, 0.3566, 0.4634)  6 Y 2.87-3.00
Se (0.9194, 0.0806, 0.1263)  6 Y 2.83-2.95
Se (0.9194, 0.0806, 0.3737)  6 Y 2.83-2.95